Tc4HgCl at its PBEsol-relaxed geometry, computed with SCAN.

Cell lengths 5.1618, 5.1618, 5.1618 Å; angles 60.00, 60.00, 60.00 degrees
Closest atoms and distances in Å follow each position.
Positions (direct):
Cl: 0.7500 0.7500 0.7500  12 Tc 3.02, 4 Hg 3.16
Hg: 0.0000 0.0000 0.0000  12 Tc 3.03, 4 Cl 3.16
Tc: 0.3768 0.3768 0.3768  6 Tc 2.54-2.62
Tc: 0.3768 0.3768 0.8695  6 Tc 2.54-2.62
Tc: 0.8695 0.3768 0.3768  6 Tc 2.54-2.62
Tc: 0.3768 0.8695 0.3768  6 Tc 2.54-2.62

Results
DOS(E_F) in states/eV/cell: 5.28
Calculated total energy in eV/atom: -35.054
Total magnetic moment in μB per atom: 0.000
Uncorrected formation energy in eV per atom: 1.0098